CaNbB2Ru | GGA-PBE | relaxed

Cell: 4.2255 4.2255 5.2860 Å, 90.00 90.00 90.00°
Last column: nearest neighbours and their distance in Å.
Positions (direct):
Ca (0.0000, 0.0000, 0.0000)  2 Nb 2.64
Nb (0.0000, 0.0000, 0.5000)  4 B 2.11
B (0.0000, 0.5000, 0.5000)  2 Nb 2.11
B (0.5000, 0.0000, 0.5000)  2 Nb 2.11
Ru (0.5000, 0.5000, 0.0000)  4 Ca 2.99

Results
ΔH_f (0 K): 1.867 eV per atom
crystal system: tetragonal
theoretical density: 4498 kg/m3

***

Sr2CaNbB | GGA-PBE | relaxed

Cell: 5.8911 5.8911 4.4983 Å, 90.00 90.00 90.00°
Last column: nearest neighbours and their distance in Å.
Positions (direct):
Sr (0.0000, 0.5000, 0.0000)  2 B 2.95
Sr (0.5000, 0.0000, 0.0000)  2 B 2.95
Ca (0.0000, 0.0000, 0.5000)  8 Sr 3.71
Nb (0.5000, 0.5000, 0.5000)  2 B 2.25
B (0.5000, 0.5000, 0.0000)  2 Nb 2.25

Results
ΔH_f (0 K): 0.533 eV per atom
crystal system: tetragonal
theoretical density: 3393 kg/m3

***

CaNdB12 | GGA-PBE | relaxed

Cell: 5.8535 5.8535 5.8535 Å, 60.00 60.00 60.00°
Last column: nearest neighbours and their distance in Å.
Positions (direct):
Ca (0.0000, 0.0000, 0.0000)  24 B 3.04
Nd (0.5000, 0.5000, 0.5000)  24 B 3.04
B (0.1002, 0.1002, 0.3998)  5 B 1.66-1.75
B (0.1002, 0.3998, 0.1002)  5 B 1.66-1.75
B (0.1002, 0.3998, 0.3998)  5 B 1.66-1.75
B (0.3998, 0.1002, 0.1002)  5 B 1.66-1.75
B (0.3998, 0.1002, 0.3998)  5 B 1.66-1.75
B (0.3998, 0.3998, 0.1002)  5 B 1.66-1.75
B (0.6002, 0.6002, 0.8998)  5 B 1.66-1.75
B (0.6002, 0.8998, 0.6002)  5 B 1.66-1.75
B (0.6002, 0.8998, 0.8998)  5 B 1.66-1.75
B (0.8998, 0.6002, 0.6002)  5 B 1.66-1.75
B (0.8998, 0.6002, 0.8998)  5 B 1.66-1.75
B (0.8998, 0.8998, 0.6002)  5 B 1.66-1.75

Results
ΔH_f (0 K): -0.448 eV per atom
crystal system: cubic
theoretical density: 3677 kg/m3

***

CaNd2B2O6 | GGA-PBE | relaxed

Cell: 5.6858 5.6858 5.6769 Å, 90.00 90.00 120.00°
Last column: nearest neighbours and their distance in Å.
Positions (direct):
Ca (0.0000, 0.0000, 0.0000)  6 O 2.33
Nd (0.3333, 0.6667, 0.2042)  3 O 2.36
Nd (0.6667, 0.3333, 0.7958)  3 O 2.36
B (0.3333, 0.6667, 0.7256)  3 O 1.46
B (0.6667, 0.3333, 0.2744)  3 O 1.46
O (0.1119, 0.7108, 0.8002)  1 B 1.46
O (0.2892, 0.4011, 0.8002)  1 B 1.46
O (0.4011, 0.1119, 0.1998)  1 B 1.46
O (0.5989, 0.8881, 0.8002)  1 B 1.46
O (0.7108, 0.5989, 0.1998)  1 B 1.46
O (0.8881, 0.2892, 0.1998)  1 B 1.46

Results
crystal system: trigonal
theoretical density: 4662 kg/m3
formation energy without anion corrections: -2.505 eV/atom

***

> Which of these has the highest theoretical density?

CaNd2B2O6